This record from Alexandria via LeMat-Bulk describes crystalline HoLu2Nb at its relaxed geometry. The functional is PBE-GGA.

Values from the calculation:
Relative energy among the computed polymorphs = 0.2760 eV per atom

a b c (Å): 3.2508 3.2508 34.3140
angles (deg): 90.00 90.00 120.00
Last column: nearest neighbours and their distance in Å.
Space group R-3m (No. 166, hexagonal axes)
Symmetry-distinct sites (fractional):
Ho1 0.0000 0.0000 0.0000 [3 per cell]  6 Ho 3.25, 6 Lu 3.40
Lu1 0.0000 0.0000 0.4161 [6 per cell]  1 Nb 2.88
Nb1 0.0000 0.0000 0.5000 [3 per cell]  2 Lu 2.88

---

This record from Alexandria via LeMat-Bulk describes crystalline NdHoLu4 at its relaxed geometry. The functional is PBE-GGA.

a b c (Å): 9.2241 9.2241 9.2241
angles (deg): 90.00 90.00 90.00
Last column: nearest neighbours and their distance in Å.
Space group F-43m (No. 216)
Symmetry-distinct sites (fractional):
Nd1 0.0000 0.0000 0.0000 [4 per cell]  12 Lu 3.83, 4 Ho 3.99
Ho1 0.2500 0.2500 0.2500 [4 per cell]  12 Lu 3.82, 4 Nd 3.99
Lu1 0.1247 0.1247 0.6247 [16 per cell]  6 Lu 3.25-3.27

---

| no. | calculated formation energy (eV/atom) |
| --- | --- |
| 1 | 0.504 |
| 2 | 0.286 |